Entry 1:
Computed, not measured: CuRu2W after structural relaxation at the PBE level of DFT.

Cell and atoms, written as extended XYZ:
```
4
Lattice="4.559 0.011 0.000 -1.185 4.402 0.000 0.000 0.000 2.831" Properties=species:S:1:pos:R:3 pbc="T T T"
Ru 1.687 2.207 0.000
Ru 0.000 0.000 0.000
W 2.279 0.006 1.416
Cu -0.593 2.201 1.416
```

Summary:
relative energy among the computed polymorphs = 0.146 eV/atom


Entry 2:
Computed, not measured: Zn2H2Pt after structural relaxation at the PBE level of DFT.

Cell and atoms, written as extended XYZ:
```
5
Lattice="-1.182 2.517 0.819 -0.209 -0.983 2.719 4.921 3.003 3.009" Properties=species:S:1:pos:R:3 pbc="T T T"
H 1.522 3.143 2.798
H 2.008 1.393 3.749
Zn 0.925 1.412 2.127
Zn 2.605 3.125 4.420
Pt 0.000 0.000 0.000
```

Summary:
relative energy among the computed polymorphs = 0.095 eV/atom


Entry 3:
Computed, not measured: PmEuHoAg after structural relaxation at the PBE level of DFT.

Cell and atoms, written as extended XYZ:
```
4
Lattice="5.458 0.000 0.000 2.729 4.727 0.000 2.729 1.576 4.457" Properties=species:S:1:pos:R:3 pbc="T T T"
Pm 5.458 3.151 2.228
Ag 2.729 1.576 1.114
Eu 8.188 4.727 3.343
Ho 0.000 0.000 0.000
```

Summary:
VASP energy = -5.520 eV/atom


Magnetization for the records above, in order: 0.0000 0.0000 1.9366 μB/atom
D(E_F) for the records above, in order: 0.88 0.14 1.32 states/eV/atom